Computed, not measured: a geometry-optimized MnAsNO2 structure at the PBE with a Hubbard U level of DFT.

a = 3.6871 Å, b = 3.6871 Å, c = 4.0165 Å
α = 90.00°, β = 90.00°, γ = 90.00°
Last column: nearest neighbours and their distance in Å.
Fractional coordinates of all 5 atoms:
Mn (0.0000, 0.0000, 0.0000)  4 O 1.84, 2 N 2.01
As (0.5000, 0.5000, 0.5000)  4 N 2.61, 8 O 2.73
N (0.0000, 0.0000, 0.5000)  2 Mn 2.01
O (0.0000, 0.5000, 0.0000)  2 Mn 1.84
O (0.5000, 0.0000, 0.0000)  2 Mn 1.84

Results
VASP energy: -30.1 eV/cell



Computed, not measured: a geometry-optimized MnAsNO2 structure at the PBE with a Hubbard U level of DFT.

a = 3.5510 Å, b = 3.5510 Å, c = 6.1362 Å
α = 90.00°, β = 90.00°, γ = 90.00°
Last column: nearest neighbours and their distance in Å.
Fractional coordinates of all 5 atoms:
Mn (0.0000, 0.0000, 0.0000)  4 N 2.51
As (0.0000, 0.0000, 0.5000)  4 O 1.78
N (0.5000, 0.5000, 0.0000)  4 Mn 2.51
O (0.0000, 0.5000, 0.5000)  2 As 1.78
O (0.5000, 0.0000, 0.5000)  2 As 1.78

Results
VASP energy: -28.4 eV/cell



Computed, not measured: a geometry-optimized MnAsNO2 structure at the PBE with a Hubbard U level of DFT.

a = 3.7644 Å, b = 3.7644 Å, c = 3.7592 Å
α = 90.00°, β = 90.00°, γ = 90.00°
Last column: nearest neighbours and their distance in Å.
Fractional coordinates of all 5 atoms:
Mn (0.0000, 0.0000, 0.0000)  8 O 2.66, 4 N 2.66
As (0.5000, 0.5000, 0.5000)  2 N 1.88, 4 O 1.88
N (0.5000, 0.5000, 0.0000)  2 As 1.88
O (0.0000, 0.5000, 0.5000)  2 As 1.88
O (0.5000, 0.0000, 0.5000)  2 As 1.88

Results
VASP energy: -31.6 eV/cell



Computed, not measured: a geometry-optimized MnAsN2O structure at the PBE with a Hubbard U level of DFT.

a = 3.8647 Å, b = 3.8647 Å, c = 3.6931 Å
α = 90.00°, β = 90.00°, γ = 90.00°
Last column: nearest neighbours and their distance in Å.
Fractional coordinates of all 5 atoms:
Mn (0.0000, 0.0000, 0.0000)  2 O 1.85, 4 N 1.93
As (0.5000, 0.5000, 0.5000)  8 N 2.67, 4 O 2.73
N (0.0000, 0.5000, 0.0000)  2 Mn 1.93
N (0.5000, 0.0000, 0.0000)  2 Mn 1.93
O (0.0000, 0.0000, 0.5000)  2 Mn 1.85

Results
VASP energy: -29.7 eV/cell